(1)
Crystalline AsAu2Se at its relaxed geometry. Source: the Alexandria database, functional PBE.

abc: 2.8848 3.9617 7.1704
angles: 90.00 90.00 90.00
Fractional positions:
As1 0.0000 0.0000 0.0000
Au1 0.0000 0.0000 0.4159
Au2 0.5000 0.5000 0.1701
Se1 0.5000 0.5000 0.6406

Results
Crystal system   orthorhombic
Volume   81.9 Å³/cell
Space-group type   Pmm2, No. 25


(2)
Crystalline AsAuSe at its relaxed geometry. Source: the Alexandria database, functional PBE.

abc: 6.0386 5.8369 9.1146
angles: 90.00 104.18 90.00
Fractional positions:
As1 0.1711 0.0959 0.3435
As2 0.1711 0.4041 0.8435
As3 0.8289 0.5959 0.1565
As4 0.8289 0.9041 0.6565
Au1 0.2418 0.0114 0.7480
Au2 0.2418 0.4886 0.2480
Au3 0.7582 0.5114 0.7520
Au4 0.7582 0.9886 0.2520
Se1 0.3271 0.6090 0.6580
Se2 0.3271 0.8910 0.1580
Se3 0.6729 0.1090 0.8420
Se4 0.6729 0.3910 0.3420

Results
Crystal system   monoclinic
Volume   311.5 Å³/cell
Space-group type   P2_1/c, No. 14


(3)
Crystalline As2AuSe at its relaxed geometry. Source: the Alexandria database, functional PBE.

abc: 3.9346 3.9346 5.3886
angles: 90.00 90.00 90.00
Fractional positions:
As1 0.0000 0.0000 0.0000
As2 0.5000 0.5000 0.0246
Au1 0.0000 0.0000 0.5060
Se1 0.5000 0.5000 0.4805

Results
Crystal system   tetragonal
Volume   83.4 Å³/cell
Space-group type   P4mm, No. 99


no.,E_tot (eV/atom),E_form (uncorrected) (meV per atom),magnetic moment (μB per cell)
1,-3.4424,230,0.00
2,-3.8898,-86,0.00
3,-3.9249,90,0.00